Record 1
The following is a PBE-GGA calculation of a relaxed Th2TaHg crystal, from Alexandria.

Crystal system = trigonal
Space group = R-3m, No. 166
DFT formation energy = 0.50 eV per atom

Lattice parameters (Å, degrees): 3.2668 3.2668 11.7791 82.03 82.03 60.00
Last column: nearest neighbours and their distance in Å.
Element x y z (fractional)
1 Ta 0.0000 0.0000 0.0000  2 Th 2.96, 6 Ta 3.27
2 Hg 0.5000 0.5000 0.5000  6 Hg 3.27, 6 Th 3.42
3 Th 0.9152 0.9152 0.2544  1 Ta 2.96, 6 Th 3.27
4 Th 0.0848 0.0848 0.7456  1 Ta 2.96, 6 Th 3.27



Record 2
The following is a PBE-GGA calculation of a relaxed Sr3Pa2CuAs6 crystal, from Alexandria.

Crystal system = monoclinic
Space group = C2/m, No. 12
DFT formation energy = -0.84 eV per atom

Lattice parameters (Å, degrees): 7.2751 7.2751 7.4956 99.33 99.33 119.78
Last column: nearest neighbours and their distance in Å.
Element x y z (fractional)
1 As 0.2650 0.2650 0.7857  2 Pa 2.86, 1 Cu 2.89, 3 Sr 3.15
2 As 0.7350 0.7350 0.2143  2 Pa 2.86, 1 Cu 2.89, 3 Sr 3.15
3 As 0.4041 0.0710 0.2129  2 Pa 2.85-2.86, 1 Cu 2.86, 3 Sr 3.17-3.19
4 As 0.5959 0.9290 0.7871  2 Pa 2.85-2.86, 1 Cu 2.86, 3 Sr 3.17-3.19
5 As 0.9290 0.5959 0.7871  2 Pa 2.85-2.86, 1 Cu 2.86, 3 Sr 3.17-3.19
6 As 0.0710 0.4041 0.2129  2 Pa 2.85-2.86, 1 Cu 2.86, 3 Sr 3.17-3.19
7 Cu 0.0000 0.0000 0.0000  6 As 2.86-2.89
8 Pa 0.6673 0.3327 0.0000  6 As 2.85-2.86
9 Pa 0.3327 0.6673 0.0000  6 As 2.85-2.86
10 Sr 0.8358 0.1642 0.5000  6 As 3.15-3.19
11 Sr 0.5000 0.5000 0.5000  6 As 3.15-3.17
12 Sr 0.1642 0.8358 0.5000  6 As 3.15-3.19



Record 3
The following is a PBE-GGA calculation of a relaxed Ac3CoBrCl crystal, from Alexandria.

Crystal system = monoclinic
Raw formation energy = -966 meV/atom
Space group = P2_1/m, No. 11

Lattice parameters (Å, degrees): 4.2499 10.0468 10.1878 94.26 90.00 90.00
Last column: nearest neighbours and their distance in Å.
Element x y z (fractional)
1 Ac 0.2500 0.5724 0.8605  3 Co 2.95
2 Ac 0.7500 0.4276 0.1395  3 Co 2.95
3 Ac 0.7500 0.3456 0.5834  1 Co 2.73, 2 Cl 3.05
4 Ac 0.2500 0.6544 0.4166  1 Co 2.73, 2 Cl 3.05
5 Ac 0.7500 0.8316 0.1406  2 Co 2.93, 1 Cl 2.98, 1 Br 3.18
6 Ac 0.2500 0.1684 0.8594  2 Co 2.93, 1 Cl 2.98, 1 Br 3.18
7 Br 0.7500 0.8937 0.8395  3 Ac 3.18-3.48
8 Br 0.2500 0.1063 0.1605  3 Ac 3.18-3.48
9 Co 0.2500 0.6322 0.1482  6 Ac 2.73-2.95
10 Co 0.7500 0.3678 0.8518  6 Ac 2.73-2.95
11 Cl 0.7500 0.8731 0.4331  3 Ac 2.98-3.05
12 Cl 0.2500 0.1269 0.5669  3 Ac 2.98-3.05



Number 1: spin magnetization 0.000 μB per formula unit, Fermi-level density of states 4.68 states/eV/f.u.. Number 2: spin magnetization 0.000 μB per formula unit, Fermi-level density of states 13.65 states/eV/f.u.. Number 3: spin magnetization 0.007 μB per formula unit, Fermi-level density of states 3.61 states/eV/f.u..